1.
{"formula": "Cr2HgSeN", "functional": "PBE-GGA", "state": "relaxed", "lattice_angstrom": [[4.8445, 0.0000, 0.0000], [0.0000, 3.9354, 0.0000], [0.0000, 0.0000, 4.8445]], "species": ["Hg", "Cr", "Cr", "N", "Se"], "fractional_positions": [[0.5000, 0.5000, 0.5000], [0.0000, 0.0000, 0.5000], [0.5000, 0.0000, 0.0000], [0.0000, 0.5000, 0.0000], [0.0000, 0.0000, 0.0000]], "vol_a3_per_cell": 92.4, "e_form_raw_mev_per_atom": 1089, "crystal_system": "tetragonal"}


2.
{"formula": "SrCr2HgN", "functional": "PBE-GGA", "state": "relaxed", "lattice_angstrom": [[-1.3066, -2.8959, 4.1985], [4.0745, 0.7833, 1.8083], [-1.8836, 4.3017, 2.3809]], "species": ["Cr", "Cr", "Sr", "Hg", "N"], "fractional_positions": [[0.5000, 0.0000, 0.0000], [0.0000, 0.0000, 0.5000], [0.5000, 0.5000, 0.5000], [0.0000, 0.0000, 0.0000], [0.0000, 0.5000, 0.0000]], "vol_a3_per_cell": 125.5, "e_form_raw_mev_per_atom": 1393, "crystal_system": "tetragonal"}